1.
12
Lattice="3.2357 1.8681 10.4807 -3.2357 1.8681 10.4807 0.0000 -3.7363 10.4807" Properties=species:S:1:pos:R:3 comment="K3Tl2Hg7, relaxed, DFT GGA-PBE" density_g_cm3=8.432 total_magnetization_mub_per_fu=0.0 total_energy_ev_per_cell=-12.2 pbc="T T T"
K 0.0000 0.0000 0.0000
K 0.0000 0.0000 4.4674
K 0.0000 0.0000 26.9746
Tl 0.0000 0.0000 10.6100
Tl 0.0000 0.0000 20.8320
Hg -1.6724 -0.9655 13.2468
Hg 0.0000 -1.9311 18.1952
Hg -1.6724 0.9655 18.1952
Hg 0.0000 0.0000 15.7210
Hg 1.6724 -0.9655 13.2468
Hg 0.0000 1.9311 13.2468
Hg 1.6724 0.9655 18.1952

***

2.
8
Lattice="7.8437 0.0000 0.0000 0.0000 4.5425 0.0000 -2.6196 0.0000 7.4122" Properties=species:S:1:pos:R:3 comment="PmPu2PaBi4, relaxed, DFT GGA-PBE" density_g_cm3=10.689 total_magnetization_mub_per_fu=11.8 total_energy_ev_per_cell=-62.0 pbc="T T T"
Pm 0.0000 0.0000 0.0000
Pu 2.6121 0.0000 3.7061
Pu 3.9219 2.2712 0.0000
Pa -1.3098 2.2712 3.7061
Bi -0.0214 0.0000 5.5197
Bi 1.2869 2.2712 1.8886
Bi 3.9372 2.2712 5.5235
Bi 5.2455 0.0000 1.8925

***

3.
12
Lattice="5.6286 0.0000 0.0000 0.0000 5.6286 0.0000 0.0000 0.0000 5.6286" Properties=species:S:1:pos:R:3 comment="BeFeHg, relaxed, DFT GGA-PBE" density_g_cm3=9.887 polymorph_energy_ev_per_atom=0.151 total_magnetization_mub_per_fu=2.3 total_energy_ev_per_cell=-43.7 pbc="T T T"
Be 0.0000 0.0000 0.0000
Be 0.0000 2.8143 2.8143
Be 2.8143 0.0000 2.8143
Be 2.8143 2.8143 0.0000
Fe 1.4072 1.4072 4.2215
Fe 1.4072 4.2215 1.4072
Fe 4.2215 1.4072 1.4072
Fe 4.2215 4.2215 4.2215
Hg 1.4072 1.4072 1.4072
Hg 1.4072 4.2215 4.2215
Hg 4.2215 1.4072 4.2215
Hg 4.2215 4.2215 1.4072

***

4.
19
Lattice="5.7728 3.3329 2.6538 -5.7728 3.3329 2.6538 0.0000 -6.6658 2.6538" Properties=species:S:1:pos:R:3 comment="Nb6Ru12Pt, relaxed, DFT GGA-PBE" density_g_cm3=10.653 total_magnetization_mub_per_fu=0.0 total_energy_ev_per_cell=-177.5 pbc="T T T"
Nb -1.9353 -0.4209 2.0118
Nb 1.3321 -1.4655 2.0118
Nb 0.6031 1.8864 2.0118
Nb -0.6031 -1.8864 5.9497
Nb -1.3321 1.4655 5.9497
Nb 1.9352 0.4209 5.9497
Ru -3.9045 1.5838 2.1237
Ru 0.5806 -4.1733 2.1237
Ru -1.0231 -2.5437 3.4164
Ru -2.7145 -0.3858 4.5451
Ru -3.3239 -2.5895 5.8378
Ru -1.6914 2.1579 3.4164
Ru 1.6914 -2.1579 4.5451
Ru 3.3239 2.5895 2.1237
Ru 2.7145 0.3858 3.4164
Ru 1.0232 2.5437 4.5451
Ru -0.5806 4.1733 5.8378
Ru 3.9045 -1.5838 5.8378
Pt 0.0000 0.0000 3.9808